A plane-wave DFT calculation with PBE+U was carried out for an optimized crystal structure of CdWO4.

```
12
Lattice="-3.172 -0.711 -3.770 1.768 -5.365 -0.475 -4.548 0.162 3.797" Properties=species:S:1:pos:R:3 pbc="T T T"
Cd -1.390 -2.602 1.661
Cd -3.860 -0.275 0.014
W -0.702 -3.038 -2.122
W 0.000 0.000 0.000
O 0.067 -4.437 -0.967
O -0.716 -1.731 -0.610
O -2.413 -3.658 -1.594
O -2.062 -4.806 1.614
O -3.891 -1.108 -2.062
O -3.540 -2.257 1.146
O -5.237 -4.183 0.163
O -6.021 -1.478 0.520
```

Values from the calculation:
calculated total energy: -38.1 eV/f.u.
space group: No. 14